Material: Ba2TlRhC
Method: DFT, PBE
State: relaxed

## Properties
Symmetry: No. 123
Total magnetization, μB/cell: 0.00
Calculated formation energy, eV/f.u.: -0.24

a b c (Å): 6.025 6.025 3.925
angles (deg): 90.00 90.00 90.00
Sites, in units of the cell vectors:
Rh: 0.000 0.000 0.500
Ba: 0.000 0.500 0.000
Ba: 0.500 0.000 0.000
C: 0.000 0.000 0.000
Tl: 0.500 0.500 0.500